w) MoCSCl2 PBE-GGA relaxed; DOS at the Fermi energy = 0.844 states/eV per atom
1.0
-2.944 -2.826 -2.616
-2.356 -1.283 4.037
-2.907 3.554 -0.568
S Cl C Mo
1 2 1 1
Direct
0.000 0.000 0.500
0.000 0.500 0.000
0.500 0.000 0.000
0.500 0.500 0.500
0.000 0.000 0.000



x) MoCSCl2 PBE-GGA relaxed; DOS at the Fermi energy = 0.961 states/eV per atom
1.0
-2.012 0.572 3.611
3.534 -0.754 2.088
0.930 4.029 -0.120
Mo Cl C S
1 2 1 1
Direct
0.500 0.500 0.500
0.000 0.500 0.000
0.500 0.000 0.000
0.000 0.000 0.000
0.000 0.000 0.500



The relative energies come out as w) 0.000; x) 0.373, with values in eV/atom.



w) Na2CCl PBE-GGA relaxed; DOS at the Fermi energy = 0.000 states/eV per atom
1.0
0.000 3.403 3.403
3.403 0.000 3.403
3.403 3.403 0.000
Na C Cl
2 1 1
Direct
0.750 0.750 0.750
0.250 0.250 0.250
0.000 0.000 0.000
0.500 0.500 0.500



x) Na2CCl PBE-GGA relaxed; DOS at the Fermi energy = 0.000 states/eV per atom
1.0
6.813 0.000 0.000
0.000 6.813 0.000
3.406 3.406 4.476
Cl Na C
2 4 2
Direct
0.750 0.250 0.500
0.000 0.000 0.000
0.610 0.125 0.250
0.375 0.390 0.750
0.140 0.625 0.250
0.875 0.860 0.750
0.500 0.500 0.000
0.250 0.750 0.500



The relative energies come out as w) 0.033; x) 0.000, with values in eV/atom.



w) NaCSCl2 PBE-GGA relaxed; DOS at the Fermi energy = 1.989 states/eV per atom
1.0
5.012 0.000 0.000
0.000 5.012 0.000
0.000 0.000 5.331
Cl S Na C
2 1 1 1
Direct
0.000 0.500 0.000
0.500 0.000 0.000
0.000 0.000 0.500
0.000 0.000 0.000
0.500 0.500 0.500



x) NaCSCl2 PBE-GGA relaxed; DOS at the Fermi energy = 0.724 states/eV per atom
1.0
5.236 0.000 0.000
0.000 5.236 0.000
0.000 0.000 3.653
C S Cl Na
1 1 2 1
Direct
0.000 0.000 0.000
0.000 0.000 0.500
0.000 0.500 0.000
0.500 0.000 0.000
0.500 0.500 0.500



The relative energies come out as w) 1.320; x) 0.000, with values in eV/atom.



w) NaCS2Cl PBE-GGA relaxed; DOS at the Fermi energy = 1.218 states/eV per atom
1.0
-5.167 -0.534 1.183
0.421 -5.283 -0.545
1.149 -0.407 4.834
C Na Cl S
1 1 1 2
Direct
0.500 0.500 0.500
0.000 0.000 0.000
0.000 0.000 0.500
0.500 0.000 0.000
0.000 0.500 0.000



x) NaCS2Cl PBE-GGA relaxed; DOS at the Fermi energy = 0.263 states/eV per atom
1.0
3.889 0.000 0.000
0.000 3.889 0.000
0.000 0.000 8.067
Na S Cl C
1 2 1 1
Direct
0.500 0.500 0.500
0.500 0.000 0.000
0.000 0.500 0.000
0.000 0.000 0.500
0.000 0.000 0.000



The relative energies come out as w) 1.520; x) 0.000, with values in eV/atom.



w) NbCCl3 PBE-GGA relaxed; DOS at the Fermi energy = 0.997 states/eV per atom
1.0
-2.330 0.041 4.280
-4.125 -1.322 -2.233
1.143 -4.691 0.666
Cl C Nb
3 1 1
Direct
0.000 0.000 0.500
0.500 0.000 0.000
0.000 0.500 0.000
0.500 0.500 0.500
0.000 0.000 0.000



x) NbCCl3 PBE-GGA relaxed; DOS at the Fermi energy = 0.829 states/eV per atom
1.0
4.453 0.000 0.000
0.000 4.453 0.000
0.000 0.000 4.453
C Nb Cl
1 1 3
Direct
0.000 0.000 0.000
0.500 0.500 0.500
0.000 0.000 0.500
0.500 0.000 0.000
0.000 0.500 0.000



The relative energies come out as w) 0.000; x) 0.488, with values in eV/atom.



w) NbCSCl2 PBE-GGA relaxed; DOS at the Fermi energy = 1.403 states/eV per atom
1.0
-2.238 -3.971 -1.799
3.388 -2.857 2.090
-2.664 -0.281 3.934
Nb C Cl S
1 1 2 1
Direct
0.000 0.000 0.000
0.500 0.500 0.500
0.000 0.500 0.000
0.500 0.000 0.000
0.000 0.000 0.500



x) NbCSCl2 PBE-GGA relaxed; DOS at the Fermi energy = 0.566 states/eV per atom
1.0
-2.245 -2.422 -2.765
3.566 -0.651 -2.325
0.873 -3.438 2.302
Nb Cl C S
1 2 1 1
Direct
0.500 0.500 0.500
0.000 0.500 0.000
0.500 0.000 0.000
0.000 0.000 0.000
0.000 0.000 0.500



The relative energies come out as w) 0.000; x) 0.310, with values in eV/atom.



w) Nd4C2Cl3 PBE-GGA relaxed; DOS at the Fermi energy = 0.132 states/eV per atom
1.0
3.611 0.000 0.000
-1.806 7.266 -0.205
0.000 -1.360 8.414
Nd C Cl
4 2 3
Direct
0.095 0.190 0.698
0.321 0.642 0.891
0.905 0.810 0.302
0.679 0.358 0.109
0.304 0.608 0.172
0.696 0.392 0.828
0.000 0.000 0.000
0.584 0.168 0.396
0.416 0.832 0.604



x) Nd4C2Cl3 PBE-GGA relaxed; DOS at the Fermi energy = 0.331 states/eV per atom
1.0
-3.478 -0.631 1.515
2.386 -2.949 -0.632
6.521 1.909 15.807
Cl Nd C
3 4 2
Direct
0.000 0.000 0.000
0.334 0.666 0.605
0.666 0.334 0.395
0.334 0.666 0.873
0.001 0.999 0.710
0.999 0.001 0.290
0.666 0.334 0.127
0.667 0.333 0.797
0.333 0.667 0.203



The relative energies come out as w) 0.116; x) 0.000, with values in eV/atom.



w) Ni2CCl PBE-GGA relaxed; DOS at the Fermi energy = 0.743 states/eV per atom
1.0
4.973 0.000 0.000
0.000 4.973 0.000
2.487 2.487 4.400
Ni Cl C
4 2 2
Direct
0.216 0.625 0.250
0.534 0.125 0.250
0.875 0.784 0.750
0.375 0.466 0.750
0.750 0.250 0.500
0.000 0.000 0.000
0.500 0.500 0.000
0.250 0.750 0.500



x) Ni2CCl PBE-GGA relaxed; DOS at the Fermi energy = 0.468 states/eV per atom
1.0
0.000 2.788 2.788
2.788 0.000 2.788
2.788 2.788 0.000
Ni Cl C
2 1 1
Direct
0.250 0.250 0.250
0.750 0.750 0.750
0.500 0.500 0.500
0.000 0.000 0.000



The relative energies come out as w) 0.000; x) 0.873, with values in eV/atom.